{
  "formula": "Ce3Cu",
  "functional": "GGA-PBE",
  "state": "relaxed",
  "cell": [[-1.209, -1.625, 2.380], [-1.172, -2.037, -1.987], [8.118, -5.219, 0.562]],
  "species": ["Ce", "Ce", "Cu", "Ce"],
  "fractional_positions": [[0.500, 0.000, 0.721], [0.500, 0.500, 0.185], [0.000, 0.000, 0.975], [0.000, 0.500, 0.453]],
  "mass_density_g_cm3": 8.642,
  "energy_ev_per_cell": -21.2,
  "dos_ef_per_ev_cell": 9.50,
  "m_tot_mub_per_fu": 0.00
}

***

{
  "formula": "CeCu5",
  "functional": "GGA-PBE",
  "state": "relaxed",
  "cell": [[5.097, 0.000, 0.025], [0.000, 4.122, 0.000], [-2.571, 0.000, 4.400]],
  "species": ["Ce", "Cu", "Cu", "Cu", "Cu", "Cu"],
  "fractional_positions": [[0.917, 0.000, 0.000], [0.584, 0.000, 0.333], [0.917, 0.500, 0.500], [0.417, 0.500, 0.000], [0.417, 0.500, 0.500], [0.250, 0.000, 0.667]],
  "mass_density_g_cm3": 8.200,
  "energy_ev_per_cell": -27.0,
  "dos_ef_per_ev_cell": 9.69,
  "m_tot_mub_per_fu": 1.11
}

***

{
  "formula": "CeCu11",
  "functional": "GGA-PBE",
  "state": "relaxed",
  "cell": [[6.007, 0.000, 2.739], [3.003, 7.098, 1.370], [0.058, 0.000, 7.828]],
  "species": ["Cu", "Cu", "Cu", "Cu", "Cu", "Cu", "Cu", "Cu", "Cu", "Cu", "Cu", "Cu", "Cu", "Cu", "Cu", "Cu", "Cu", "Cu", "Ce", "Cu", "Cu", "Cu", "Ce", "Cu"],
  "fractional_positions": [[0.149, 0.416, 0.170], [0.015, 0.916, 0.670], [0.735, 0.830, 0.584], [0.315, 0.084, 0.670], [0.601, 0.084, 0.330], [0.681, 0.584, 0.170], [0.735, 0.584, 0.830], [0.435, 0.416, 0.830], [0.875, 0.250, 0.250], [0.149, 0.170, 0.416], [0.750, 0.500, 0.500], [0.435, 0.830, 0.416], [0.875, 0.250, 0.750], [0.069, 0.916, 0.330], [0.875, 0.750, 0.250], [0.681, 0.170, 0.584], [0.069, 0.330, 0.916], [0.375, 0.750, 0.750], [0.500, 0.000, 0.000], [0.315, 0.670, 0.084], [0.000, 0.000, 0.000], [0.601, 0.330, 0.084], [0.250, 0.500, 0.500], [0.015, 0.670, 0.916]],
  "mass_density_g_cm3": 8.379,
  "energy_ev_per_cell": -103.1,
  "dos_ef_per_ev_cell": 20.81,
  "m_tot_mub_per_fu": 0.95
}

***

{
  "formula": "Ce3Cu",
  "functional": "GGA-PBE",
  "state": "relaxed",
  "cell": [[-0.195, 2.856, -1.536], [-1.288, -2.584, -4.638], [-4.292, 0.178, 4.310]],
  "species": ["Cu", "Ce", "Ce", "Ce"],
  "fractional_positions": [[0.000, 0.917, 0.000], [0.500, 0.417, 0.000], [0.740, 0.157, 0.481], [0.260, 0.676, 0.519]],
  "mass_density_g_cm3": 8.725,
  "energy_ev_per_cell": -21.8,
  "dos_ef_per_ev_cell": 9.82,
  "m_tot_mub_per_fu": 0.00
}

***

{
  "formula": "Ce2DyCu",
  "functional": "GGA-PBE",
  "state": "relaxed",
  "cell": [[3.500, 0.000, 0.000], [1.750, 3.031, 0.000], [1.750, 1.010, 10.060]],
  "species": ["Dy", "Ce", "Cu", "Ce"],
  "fractional_positions": [[0.500, 0.500, 0.500], [0.737, 0.737, 0.788], [0.000, 0.000, 0.000], [0.263, 0.263, 0.212]],
  "mass_density_g_cm3": 7.877,
  "energy_ev_per_cell": -20.0,
  "dos_ef_per_ev_cell": 9.32,
  "m_tot_mub_per_fu": 1.33
}

***

{
  "formula": "CeDyCu4",
  "functional": "GGA-PBE",
  "state": "relaxed",
  "cell": [[-0.765, -3.534, 3.834], [3.560, -3.795, 0.834], [3.008, 0.113, 4.326]],
  "species": ["Cu", "Cu", "Cu", "Ce", "Cu", "Dy"],
  "fractional_positions": [[0.626, 0.123, 0.626], [0.123, 0.626, 0.626], [0.626, 0.626, 0.123], [0.250, 0.250, 0.250], [0.626, 0.626, 0.626], [0.000, 0.000, 0.000]],
  "mass_density_g_cm3": 8.934,
  "energy_ev_per_cell": -27.6,
  "dos_ef_per_ev_cell": 7.43,
  "m_tot_mub_per_fu": 0.79
}

***

> Number 1 is which compound?

Ce3Cu